DFT (PBE) results for a relaxed Na2GaTc crystal. Values from VASP.

The calculation puts the density of states at the Fermi level at 1.214 states/eV per atom. The space group is No. 122. The energy relative to the elements is 322 kJ/mol of formula units.

```
&SYSTEM
  ibrav = 0, nat = 8, ntyp = 3
/
ATOMIC_SPECIES
Na 22.99 Na.upf
Ga 69.72 Ga.upf
Tc 98.00 Tc.upf
CELL_PARAMETERS angstrom
-4.1112 4.1112 2.5840
4.1112 -4.1112 2.5840
4.1112 4.1112 -2.5840
ATOMIC_POSITIONS angstrom
Na 6.1669 1.9482 -0.6460
Na 1.9482 2.0556 0.6460
Na -2.0556 2.1630 1.9380
Na 2.1630 2.0556 3.2299
Ga 0.0000 0.0000 0.0000
Ga 0.0000 4.1112 1.2920
Tc 4.1112 0.0000 1.2920
Tc 0.0000 0.0000 2.5840
```



DFT (PBE) results for a relaxed NaGa2Tc2 crystal. Values from VASP.

The calculation puts the density of states at the Fermi level at 0.557 states/eV per atom. The energy above the most stable polymorph in this dataset comes out at 0.0000 eV/atom. The space group is No. 127. The energy relative to the elements is 31 kJ/mol of formula units.

```
&SYSTEM
  ibrav = 0, nat = 10, ntyp = 3
/
ATOMIC_SPECIES
Na 22.99 Na.upf
Ga 69.72 Ga.upf
Tc 98.00 Tc.upf
CELL_PARAMETERS angstrom
7.8501 0.0000 0.0000
0.0000 7.8501 0.0000
0.0000 0.0000 2.7622
ATOMIC_POSITIONS angstrom
Na 0.0000 0.0000 0.0000
Na 3.9251 3.9251 0.0000
Ga 1.4497 2.4753 1.3811
Ga 2.4753 6.4004 1.3811
Ga 5.3748 1.4497 1.3811
Ga 6.4004 5.3748 1.3811
Tc 0.8367 4.7618 0.0000
Tc 3.0883 0.8367 0.0000
Tc 4.7618 7.0134 0.0000
Tc 7.0134 3.0883 0.0000
```



What is the formula in the first record?
Na2GaTc



The lowest energy relative to the elements belongs to which entry?
NaGa2Tc2



Look up the energy relative to the elements of the second one.
31 kJ/mol of formula units